Compound: Pr2AlZn
Source: Alexandria via LeMat-Bulk
Functional: PBE
Structure: relaxed

The structure in POSCAR format:
```
Pr2AlZn
1.0
3.5358 0.0000 0.0000
1.7679 3.0621 0.0000
1.7679 1.0207 11.1208
Zn Al Pr
1 1 2
direct
0.0000 0.0000 0.0000
0.5000 0.5000 0.5000
0.9043 0.9043 0.2872
0.0957 0.0957 0.7128
```

Summary:
formation energy from the elements	0.18	eV/atom
space-group type	No. 166
DFT total energy	-13.85	eV per cell